(1)
Compound: YTcPd2I
Source: Alexandria
Functional: PBE
Structure: optimized geometry

The structure in POSCAR format:
```
YTcPd2I
1.0
4.934 0.000 0.000
0.000 4.934 0.000
0.000 0.000 4.973
Y Tc Pd I
1 1 2 1
direct
0.000 0.000 0.000 Y
0.500 0.500 0.000 Tc
0.000 0.500 0.500 Pd
0.500 0.000 0.500 Pd
0.500 0.500 0.500 I
```

ΔE_f (raw), eV/atom: 0.624


(2)
Compound: K2MgPOs
Source: Alexandria
Functional: PBE
Structure: optimized geometry

The structure in POSCAR format:
```
K2MgPOs
1.0
6.049 0.000 0.000
0.000 6.049 0.000
0.000 0.000 5.074
K Mg P Os
2 1 1 1
direct
0.000 0.500 0.000 K
0.500 0.000 0.000 K
0.000 0.000 0.500 Mg
0.500 0.500 0.500 P
0.000 0.000 0.000 Os
```

Formation energy from the elements, eV/f.u.: 6.8


(3)
Compound: NaCeNp2Te4
Source: Alexandria
Functional: PBE
Structure: optimized geometry

The structure in POSCAR format:
```
NaCeNp2Te4
1.0
7.725 0.000 0.000
0.000 4.445 0.000
-2.554 0.000 7.330
Na Ce Np Te
1 1 2 4
direct
0.000 0.000 0.000 Na
0.500 0.500 0.000 Ce
0.000 0.500 0.500 Np
0.500 0.000 0.500 Np
0.246 0.000 0.744 Te
0.252 0.500 0.256 Te
0.748 0.500 0.744 Te
0.754 0.000 0.256 Te
```

ΔE_f (raw), eV/atom: -0.900


(4)
Compound: Mg3AlSb
Source: Alexandria
Functional: PBE
Structure: optimized geometry

The structure in POSCAR format:
```
Mg3AlSb
1.0
5.144 0.000 0.000
0.000 5.144 0.000
0.000 0.000 5.144
Mg Al Sb
3 1 1
direct
0.000 0.000 0.500 Mg
0.000 0.500 0.000 Mg
0.500 0.000 0.000 Mg
0.000 0.000 0.000 Al
0.500 0.500 0.500 Sb
```

E above lowest polymorph, kJ/mol of formula units: 0.0
ΔE_f (raw), eV/atom: 0.334


(5)
Compound: CaScPb2
Source: Alexandria
Functional: PBE
Structure: optimized geometry

The structure in POSCAR format:
```
CaScPb2
1.0
4.462 0.000 0.000
0.000 4.462 0.000
0.000 0.000 11.042
Ca Sc Pb
2 2 4
direct
0.000 0.000 0.000 Ca
0.500 0.500 0.500 Ca
0.000 0.500 0.250 Sc
0.500 0.000 0.750 Sc
0.000 0.000 0.500 Pb
0.000 0.500 0.750 Pb
0.500 0.000 0.250 Pb
0.500 0.500 0.000 Pb
```

Formation energy from the elements, eV/f.u.: -1.4


(6)
Compound: CaFeCl2
Source: Alexandria
Functional: PBE
Structure: optimized geometry

The structure in POSCAR format:
```
CaFeCl2
1.0
3.318 0.000 0.000
0.000 3.318 0.000
0.000 0.000 10.942
Ca Fe Cl
1 1 2
direct
0.000 0.000 0.000 Ca
0.000 0.000 0.500 Fe
0.500 0.500 0.145 Cl
0.500 0.500 0.855 Cl
```

E above lowest polymorph, kJ/mol of formula units: 64.9
ΔE_f (raw), eV/atom: -0.657


Number 1: raw total energy -25.644 eV per formula unit. Number 2: raw total energy -13.641 eV per formula unit. Number 3: raw total energy -52.904 eV per formula unit. Number 4: raw total energy -10.978 eV per formula unit. Number 5: raw total energy -17.165 eV per formula unit. Number 6: raw total energy -16.786 eV per formula unit.